Density functional theory data (GGA-PBEsol) for an optimized crystal structure of K3Ag9Sb4S12.

Cell: 10.6133 10.6133 11.5836 Å, 90.00 90.00 90.00°
Last column: nearest neighbours and their distance in Å.
Space group I-4 (No. 82)
Inequivalent atoms, fractional coordinates:
K 0.0000 0.0000 0.0000 (multiplicity 2)  8 S 3.25-3.41
K 0.0000 0.0000 0.3312 (multiplicity 4)  8 S 3.23-3.59
Ag 0.0000 0.5000 0.7500 (multiplicity 2)  4 S 2.72, 4 Ag 2.84
Ag 0.1545 0.3292 0.3306 (multiplicity 8)  3 S 2.46-2.51
Ag 0.1750 0.3151 0.6738 (multiplicity 8)  3 S 2.45-2.52
Sb 0.1069 0.6236 0.4843 (multiplicity 8)  3 S 2.44-2.47
S 0.0405 0.2469 0.1622 (multiplicity 8)  2 Ag 2.46-2.48, 1 Sb 2.46
S 0.0452 0.2719 0.8480 (multiplicity 8)  1 Sb 2.47, 3 Ag 2.49-2.72
S 0.1594 0.1825 0.5006 (multiplicity 8)  1 Sb 2.44, 2 Ag 2.45-2.51

Values from the calculation:
- uncorrected formation energy (eV per atom) = -0.361
- crystal system = tetragonal
- total energy (eV/cell) = -228.3